VASP calculation (PBE-GGA) on a relaxed structure of KMnSe2.

```
4
Lattice="8.6895 0.1598 1.5611 7.8826 3.6601 1.5611 1.8184 0.4191 4.4593" Properties=species:S:1:pos:R:3 pbc="T T T"
Se 12.7463 2.9381 4.8761
Se 15.7115 3.6216 3.4735
K 9.7818 2.2547 3.5256
Mn 5.9182 1.3642 2.6191
```

Values from the calculation:
Total moment, μB per cell: 4.0
E_form (uncorrected), eV/atom: -0.70


VASP calculation (PBE-GGA) on a relaxed structure of KMn2Se.

```
4
Lattice="-2.8340 1.8376 -3.8147 1.5418 -0.5701 -4.8226 -2.4729 -3.1949 -3.1044" Properties=species:S:1:pos:R:3 pbc="T T T"
Mn 0.0000 0.0000 0.0000
Mn -0.9413 -0.4818 -2.9355
Se -2.8238 -1.4455 -8.8064
K -1.8825 -0.9637 -5.8709
```

Values from the calculation:
Density of states at the Fermi level, states/eV/cell: 5.10
Total moment, μB per cell: 9.0
E_form (uncorrected), eV/atom: 0.65


VASP calculation (PBE-GGA) on a relaxed structure of K3MnSe.

```
5
Lattice="-1.3795 -4.0479 4.6307 6.0888 -0.2281 1.6145 -0.8693 4.8264 3.9600" Properties=species:S:1:pos:R:3 pbc="T T T"
K -0.6898 -2.0239 2.3153
K 3.0444 -0.1140 0.8073
K -0.4346 2.4132 1.9800
Se 0.0000 0.0000 0.0000
Mn 1.9200 0.2752 5.1026
```

Values from the calculation:
Offset from the most stable computed form, meV per atom: 0.0
Density of states at the Fermi level, states/eV/cell: 11.64
Total moment, μB per cell: 4.4
E_form (uncorrected), eV/atom: -0.01


VASP calculation (PBE-GGA) on a relaxed structure of KMnSe2.

```
4
Lattice="-5.3612 -0.6670 -0.5689 4.6741 -1.4877 -2.3346 0.3171 -6.7690 4.9483" Properties=species:S:1:pos:R:3 pbc="T T T"
Se 0.2993 -6.3888 4.6704
Se 0.1763 -3.7646 2.7520
K -0.2643 -2.7696 -0.2147
Mn -0.1057 -6.1541 2.2594
```

Values from the calculation:
Total moment, μB per cell: 4.0
E_form (uncorrected), eV/atom: -0.58


VASP calculation (PBE-GGA) on a relaxed structure of KMn2Se.

```
4
Lattice="-1.8277 1.4188 -2.5319 -1.4006 -3.0525 -0.6962 -6.2360 1.6266 5.4131" Properties=species:S:1:pos:R:3 pbc="T T T"
Mn -2.5109 0.6550 2.1796
Mn -0.6071 0.1584 0.5270
Se -3.1732 -0.4102 -0.2608
K -6.2911 0.4031 2.4457
```

Values from the calculation:
Density of states at the Fermi level, states/eV/cell: 3.16
Total moment, μB per cell: 8.1
E_form (uncorrected), eV/atom: 0.47


VASP calculation (PBE-GGA) on a relaxed structure of KMnSe2.

```
4
Lattice="4.2078 0.0000 0.0000 0.0000 4.9063 -0.0502 0.0000 0.4370 6.7792" Properties=species:S:1:pos:R:3 pbc="T T T"
Mn 2.1039 0.3500 5.3075
Se 0.0000 0.5074 6.4113
Se 2.1039 5.0294 2.9973
K 0.0000 2.5652 2.1567
```

Values from the calculation:
Density of states at the Fermi level, states/eV/cell: 0.55
Total moment, μB per cell: 4.0
E_form (uncorrected), eV/atom: -0.55


VASP calculation (PBE-GGA) on a relaxed structure of K2MnSe.

```
4
Lattice="4.4549 0.0000 0.0000 0.0000 4.4487 0.0535 0.0000 4.3863 6.1348" Properties=species:S:1:pos:R:3 pbc="T T T"
K 0.0000 4.4128 3.1859
K 0.0000 4.3911 6.0430
Mn 2.2275 2.2088 1.5471
Se 2.2275 6.6263 4.6412
```

Values from the calculation:
Density of states at the Fermi level, states/eV/cell: 2.54
Total moment, μB per cell: 4.3
E_form (uncorrected), eV/atom: 0.03


VASP calculation (PBE-GGA) on a relaxed structure of KMnSe4.

```
6
Lattice="2.7590 3.0853 4.2224 -3.0555 2.0854 4.6126 0.7664 -2.3629 5.3656" Properties=species:S:1:pos:R:3 pbc="T T T"
Se 0.5631 -0.1459 8.0183
Se -1.3695 2.1035 7.6376
Se 1.5707 2.6091 7.4403
Se 0.1756 1.0490 5.3051
Mn 0.0000 0.0000 0.0000
K 0.3525 2.1059 10.6505
```

Values from the calculation:
Density of states at the Fermi level, states/eV/cell: 2.53
Total moment, μB per cell: 5.3
E_form (uncorrected), eV/atom: 0.24


VASP calculation (PBE-GGA) on a relaxed structure of KMn2Se.

```
4
Lattice="3.4463 0.1869 0.0000 -0.1861 3.4463 0.0000 0.0000 0.0000 7.6262" Properties=species:S:1:pos:R:3 pbc="T T T"
Se 0.0000 0.0000 3.1914
Mn 1.6301 1.8166 2.0677
Mn 0.0000 0.0000 0.6273
K 1.6301 1.8166 5.5528
```

Values from the calculation:
Density of states at the Fermi level, states/eV/cell: 2.50
Total moment, μB per cell: 8.2
E_form (uncorrected), eV/atom: 0.13


VASP calculation (PBE-GGA) on a relaxed structure of KMn4Se8.

```
13
Lattice="6.6961 0.0000 2.2534 2.9689 6.0020 2.2534 0.6265 0.3891 9.2142" Properties=species:S:1:pos:R:3 pbc="T T T"
Se 4.2651 4.7299 3.9339
Se 7.6165 4.7299 5.0617
Se 6.0264 1.6612 9.7870
Se 2.7805 1.7267 2.8133
Se 2.6750 1.6612 8.6592
Se 7.5111 4.6644 10.9076
Se 4.1610 4.6652 9.7870
Se 6.1306 1.7259 3.9339
Mn 1.4845 3.0010 1.1267
Mn 3.3481 0.0000 1.1267
Mn 4.8325 3.0010 2.2534
Mn 0.0000 0.0000 0.0000
K 5.1458 3.1955 6.8605
```

Values from the calculation:
Density of states at the Fermi level, states/eV/cell: 6.97
Total moment, μB per cell: 10.9
E_form (uncorrected), eV/atom: -0.59


VASP calculation (PBE-GGA) on a relaxed structure of KMn2Se.

```
4
Lattice="-0.0400 -4.5381 -2.0809 3.3762 -1.1304 2.4003 -2.6529 -1.3879 3.0779" Properties=species:S:1:pos:R:3 pbc="T T T"
Mn 0.3616 -1.2592 2.7391
Mn 0.0000 0.0000 0.0000
Se 1.6681 -2.8343 0.1597
K -1.3465 -2.9630 0.4985
```

Values from the calculation:
Density of states at the Fermi level, states/eV/cell: 2.94
Total moment, μB per cell: 9.0
E_form (uncorrected), eV/atom: 0.51


VASP calculation (PBE-GGA) on a relaxed structure of K2MnSe.

```
4
Lattice="5.9600 -0.0002 -0.0069 1.4062 5.7918 0.0069 -3.6719 -2.9101 3.6839" Properties=species:S:1:pos:R:3 pbc="T T T"
Mn 2.9856 -0.0072 1.8385
K 3.6810 2.8941 0.0000
K 0.0021 0.0017 0.0000
Se 0.7087 2.8887 1.8454
```

Values from the calculation:
Density of states at the Fermi level, states/eV/cell: 0.40
Total moment, μB per cell: 5.0
E_form (uncorrected), eV/atom: 0.06


VASP calculation (PBE-GGA) on a relaxed structure of KMn2Se.

```
4
Lattice="6.3856 -0.0365 0.0000 -3.5973 5.2761 0.0000 0.0000 0.0000 2.8456" Properties=species:S:1:pos:R:3 pbc="T T T"
Se 3.1928 -0.0183 1.4228
K -1.7986 2.6381 1.4228
Mn 1.3942 2.6198 0.0000
Mn 0.0000 0.0000 0.0000
```

Values from the calculation:
Density of states at the Fermi level, states/eV/cell: 2.15
Total moment, μB per cell: 8.8
E_form (uncorrected), eV/atom: 0.71


VASP calculation (PBE-GGA) on a relaxed structure of KMn2Se.

```
4
Lattice="-5.8462 -0.9774 -0.3172 -4.7276 -1.0147 -3.4429 -1.1598 -6.1050 -0.3421" Properties=species:S:1:pos:R:3 pbc="T T T"
K -2.9334 -2.0243 -1.0256
Mn -5.2906 -5.1163 -1.8321
Mn -1.7360 -5.0372 -0.5610
Se -8.8002 -6.0728 -3.0767
```

Values from the calculation:
Density of states at the Fermi level, states/eV/cell: 2.72
Total moment, μB per cell: 7.3
E_form (uncorrected), eV/atom: 0.25


VASP calculation (PBE-GGA) on a relaxed structure of K4MnSe4.

```
9
Lattice="7.1798 -0.8960 -4.2123 -4.6382 6.9691 0.1217 -0.5963 0.8960 8.3029" Properties=species:S:1:pos:R:3 pbc="T T T"
Mn 0.0000 0.0000 0.0000
K -3.6415 5.4715 5.8607
K 3.2917 0.0000 2.0453
K 1.2708 3.0365 -2.0453
K -1.5930 2.3936 2.5639
Se -0.2346 6.7041 5.0926
Se -0.7727 1.1610 5.9586
Se 1.0860 1.9086 0.8803
Se -3.3680 5.0605 0.7055
```

Values from the calculation:
Density of states at the Fermi level, states/eV/cell: 5.62
Total moment, μB per cell: 3.0
E_form (uncorrected), eV/atom: -0.84


VASP calculation (PBE-GGA) on a relaxed structure of KMnSe2.

```
4
Lattice="5.9590 -0.1022 0.0604 0.4705 5.9413 -0.0604 -1.6221 -4.6732 3.3247" Properties=species:S:1:pos:R:3 pbc="T T T"
K 3.7758 -0.9279 1.6926
Se 2.8040 2.5465 0.0000
Se 0.4108 0.3731 0.0000
Mn 1.0316 2.0938 1.6321
```

Values from the calculation:
Total moment, μB per cell: 4.0
E_form (uncorrected), eV/atom: -0.63


VASP calculation (PBE-GGA) on a relaxed structure of KMnSe2.

```
4
Lattice="-0.5476 0.3254 5.0742 0.5704 -4.1693 2.9060 4.0822 -0.4544 3.0468" Properties=species:S:1:pos:R:3 pbc="T T T"
Se 0.0000 0.0000 0.0000
Se 1.0262 -1.0746 2.7568
Mn 3.0787 -3.2237 8.2703
K 2.0524 -2.1491 5.5135
```

Values from the calculation:
Density of states at the Fermi level, states/eV/cell: 3.13
Total moment, μB per cell: 4.0
E_form (uncorrected), eV/atom: 0.25


VASP calculation (PBE-GGA) on a relaxed structure of K2MnSe.

```
4
Lattice="5.1056 0.0000 0.0000 0.0000 5.1056 0.0000 0.0000 0.0000 4.7533" Properties=species:S:1:pos:R:3 pbc="T T T"
K 0.0000 0.0000 0.0000
K 2.5528 2.5528 0.0000
Se 0.0000 2.5528 2.3767
Mn 2.5528 0.0000 2.3767
```

Values from the calculation:
Density of states at the Fermi level, states/eV/cell: 0.50
Total moment, μB per cell: 5.0
E_form (uncorrected), eV/atom: 0.04


VASP calculation (PBE-GGA) on a relaxed structure of KMn2Se.

```
4
Lattice="-1.2170 3.2539 4.3653 -5.2158 -0.8263 1.7994 4.2411 -3.4422 -1.1356" Properties=species:S:1:pos:R:3 pbc="T T T"
Se -3.2164 1.2138 3.0824
K -0.0962 0.5128 3.1560
Mn 0.0000 0.0000 0.0000
Mn -2.0956 -1.5274 1.8731
```

Values from the calculation:
Density of states at the Fermi level, states/eV/cell: 3.16
Total moment, μB per cell: 8.5
E_form (uncorrected), eV/atom: 0.65


VASP calculation (PBE-GGA) on a relaxed structure of K2MnSe.

```
4
Lattice="7.0122 0.0186 0.0113 3.6202 6.0055 -0.0113 -4.7959 -3.9304 3.2746" Properties=species:S:1:pos:R:3 pbc="T T T"
K 0.4750 0.2691 0.0000
K 3.6535 -0.5138 1.6430
Se 2.5226 2.7999 1.6316
Mn 4.5016 2.5505 0.0000
```

Values from the calculation:
Density of states at the Fermi level, states/eV/cell: 0.64
Total moment, μB per cell: 5.0
E_form (uncorrected), eV/atom: -0.20